Record 1
Compound: H7Pd4Pt
Source: Alexandria
Functional: PBE
Structure: optimized geometry

The structure in extended XYZ format:
```
12
Lattice="3.449 0.000 0.000 -0.037 4.666 0.000 -1.720 -0.535 6.855" Properties=species:S:1:pos:R:3 pbc="T T T"
H 0.000 0.000 0.000
H -0.020 1.445 2.836
H -0.002 0.368 5.229
H -0.085 2.522 6.290
H 1.778 1.609 0.565
H 1.694 3.763 1.626
H 1.713 2.686 4.020
Pd -0.039 4.329 2.311
Pd -0.013 2.147 4.578
Pd 1.706 1.984 2.277
Pd 1.731 -0.198 4.544
Pt 1.725 0.000 0.000
```

VASP energy   -4.194 eV/atom
Magnetization   0.000 μB per atom
Space-group type   P-1, No. 2

=====

Record 2
Compound: H9Pd4Pt2
Source: Alexandria
Functional: PBE
Structure: optimized geometry

The structure in extended XYZ format:
```
30
Lattice="4.099 0.000 0.000 2.036 4.794 0.000 2.030 -0.242 13.324" Properties=species:S:1:pos:R:3 pbc="T T T"
H 0.797 0.805 1.587
H 2.949 4.222 5.595
H 3.056 2.783 9.452
H 3.074 3.519 3.330
H 3.131 2.063 7.287
H 3.131 -0.053 12.688
H 2.838 1.484 5.062
H 2.939 2.857 1.055
H 5.093 4.060 10.531
H 3.072 0.491 2.792
H 5.226 1.694 12.268
H 5.327 3.068 8.262
H 5.034 4.605 0.636
H 5.034 2.488 6.036
H 5.091 1.032 9.994
H 5.110 1.769 3.872
H 5.217 0.329 7.729
H 7.368 3.747 11.737
Pd 1.974 0.151 4.171
Pd 1.991 1.421 0.344
Pd 4.151 2.439 10.833
Pd 4.118 3.696 7.024
Pd 4.048 0.856 6.300
Pd 4.014 2.112 2.491
Pd 6.174 3.131 12.979
Pd 6.191 4.401 9.153
Pt 2.151 1.575 8.608
Pt 2.140 0.462 11.378
Pt 6.025 4.089 1.946
Pt 6.015 2.976 4.716
```

VASP energy   -4.212 eV/atom
Magnetization   0.000 μB per atom
Space-group type   P-1, No. 2

=====

Record 3
Compound: H6Pd5Pt
Source: Alexandria
Functional: PBE
Structure: optimized geometry

The structure in extended XYZ format:
```
12
Lattice="2.591 -4.360 0.000 2.591 4.360 0.000 -0.941 0.000 5.028" Properties=species:S:1:pos:R:3 pbc="T T T"
H 1.216 2.856 3.260
H 0.022 0.000 4.380
H 3.025 2.856 1.767
H 1.216 -2.856 3.260
H 4.219 0.000 0.648
H 3.025 -2.856 1.767
Pd -0.470 0.000 2.514
Pd 2.591 2.858 0.000
Pd 2.120 1.404 2.514
Pd 2.120 -1.404 2.514
Pd 2.591 -2.858 0.000
Pt 2.591 0.000 0.000
```

ΔE to the lowest computed polymorph   0 meV per atom
Magnetization   0.000 μB per atom
Space-group type   C2/m, No. 12

=====

Record 4
Compound: H5PdPt2
Source: Alexandria
Functional: PBE
Structure: optimized geometry

The structure in extended XYZ format:
```
16
Lattice="3.532 0.000 0.000 0.000 10.745 0.000 -0.001 0.000 3.613" Properties=species:S:1:pos:R:3 pbc="T T T"
H 3.532 1.095 0.785
H 3.532 4.278 0.785
H -0.001 6.467 2.828
H -0.001 9.650 2.828
H 1.752 0.618 2.696
H 1.752 4.755 2.696
H 1.763 8.058 1.730
H 1.768 2.686 1.883
H 1.780 5.990 0.917
H 1.780 10.127 0.917
Pd 3.531 2.686 2.704
Pd 0.000 8.058 0.909
Pt 1.766 1.188 0.846
Pt 1.766 4.185 0.846
Pt 1.765 6.560 2.767
Pt 1.765 9.557 2.767
```

VASP energy   -4.216 eV/atom
Magnetization   0.000 μB per atom
Space-group type   P2_1/m, No. 11

=====

Record 5
Compound: H2PdPt
Source: Alexandria
Functional: PBE
Structure: optimized geometry

The structure in extended XYZ format:
```
16
Lattice="4.905 0.000 0.000 0.000 6.332 0.000 0.000 0.000 4.923" Properties=species:S:1:pos:R:3 pbc="T T T"
H 0.641 0.742 0.000
H 0.704 4.012 4.877
H 1.749 0.846 2.416
H 1.812 3.907 2.461
H 3.094 2.424 0.000
H 3.156 5.486 4.877
H 4.202 2.320 2.416
H 4.264 5.590 2.461
Pd 0.037 3.955 1.740
Pd 2.416 0.790 4.201
Pd 2.489 5.542 1.740
Pd 4.869 2.376 4.201
Pt 0.048 0.793 1.734
Pt 2.405 3.959 4.195
Pt 2.500 2.373 1.734
Pt 4.857 5.539 4.195
```

ΔE to the lowest computed polymorph   18 meV per atom
Magnetization   0.000 μB per atom
Space-group type   Pna2_1, No. 33

=====

Record 6
Compound: H2PdPt2
Source: Alexandria
Functional: PBE
Structure: optimized geometry

The structure in extended XYZ format:
```
5
Lattice="-1.946 1.946 3.983 1.946 -1.946 3.983 1.946 1.946 -3.983" Properties=species:S:1:pos:R:3 pbc="T T T"
H 0.000 0.000 1.695
H 0.000 0.000 6.270
Pd 0.000 0.000 3.983
Pt 1.946 0.000 1.991
Pt 0.000 1.946 1.991
```

ΔE to the lowest computed polymorph   149 meV per atom
Magnetization   0.000 μB per atom
Space-group type   I4/mmm, No. 139

=====

Which formula does entry 4 have?
H5PdPt2

=====

Which value of magnetization does entry 6 give?
0.000 μB per atom

=====

Which value of magnetization does entry 2 give?
0.000 μB per atom